## w
The following is a GGA-PBE calculation of InNiAg3 after structural relaxation, from Alexandria via LeMat-Bulk.

Summary:
* density of states at the Fermi level: 3.6 states/eV per cell
* space-group type: No. 221
* mass density: 7.309 Mg/m³

Structure (POSCAR):
```
InNiAg3
1.0
4.8337 0.0000 0.0000
0.0000 4.8337 0.0000
0.0000 0.0000 4.8337
Ni Ag In
1 3 1
Direct
0.0000 0.0000 0.0000
0.0000 0.5000 0.0000
0.0000 0.0000 0.5000
0.5000 0.0000 0.0000
0.5000 0.5000 0.5000
```



## x
The following is a GGA-PBE calculation of InNiAg3 after structural relaxation, from Alexandria via LeMat-Bulk.

Summary:
* density of states at the Fermi level: 6.8 states/eV per cell
* space-group type: No. 221
* mass density: 6.083 Mg/m³

Structure (POSCAR):
```
InNiAg3
1.0
5.1388 0.0000 0.0000
0.0000 5.1388 0.0000
0.0000 0.0000 5.1388
Ni Ag In
1 3 1
Direct
0.5000 0.5000 0.5000
0.0000 0.5000 0.0000
0.0000 0.0000 0.5000
0.5000 0.0000 0.0000
0.0000 0.0000 0.0000
```



Stability ranking, top and bottom: w is the most stable and x is the least stable.



## w
The following is a GGA-PBE calculation of InAg2O after structural relaxation, from Alexandria via LeMat-Bulk.

Summary:
* density of states at the Fermi level: 3.0 states/eV per cell
* space-group type: No. 122
* mass density: 8.172 Mg/m³

Structure (POSCAR):
```
InAg2O
1.0
-6.3329 -3.8703 1.1313
3.7440 -4.8620 4.3253
-1.7927 -2.9640 4.7357
O Ag In
2 4 2
Direct
0.5000 0.5000 0.0000
0.2500 0.7500 0.5000
0.5499 0.1250 0.2500
0.2001 0.6250 0.2500
0.3750 0.4501 0.7500
0.8750 0.7999 0.7500
0.0000 0.0000 0.0000
0.7500 0.2500 0.5000
```



## x
The following is a GGA-PBE calculation of InAg2O after structural relaxation, from Alexandria via LeMat-Bulk.

Summary:
* density of states at the Fermi level: 1.2 states/eV per cell
* space-group type: No. 225
* mass density: 8.428 Mg/m³

Structure (POSCAR):
```
InAg2O
1.0
-3.3137 -2.0311 -2.4377
-4.3927 0.5289 1.2134
-2.8103 2.5261 -2.6018
O Ag In
1 2 1
Direct
0.0000 0.0000 0.0000
0.2500 0.2500 0.2500
0.7500 0.7500 0.7500
0.5000 0.5000 0.5000
```



Stability ranking, top and bottom: w is the most stable and x is the least stable.



## w
The following is a GGA-PBE calculation of InAgPO2 after structural relaxation, from Alexandria via LeMat-Bulk.

Summary:
* density of states at the Fermi level: 4.3 states/eV per cell
* space-group type: No. 123
* mass density: 5.739 Mg/m³

Structure (POSCAR):
```
InAgPO2
1.0
4.0692 0.0000 0.0000
0.0000 4.0692 0.0000
0.0000 0.0000 4.9913
P O Ag In
1 2 1 1
Direct
0.0000 0.0000 0.5000
0.0000 0.5000 0.0000
0.5000 0.0000 0.0000
0.0000 0.0000 0.0000
0.5000 0.5000 0.5000
```



## x
The following is a GGA-PBE calculation of InAgPO2 after structural relaxation, from Alexandria via LeMat-Bulk.

Summary:
* density of states at the Fermi level: 6.7 states/eV per cell
* space-group type: No. 123
* mass density: 5.059 Mg/m³

Structure (POSCAR):
```
InAgPO2
1.0
-3.8018 0.8792 -0.8794
-0.9508 -3.8784 0.2330
-1.1742 0.6307 5.7064
P O Ag In
1 2 1 1
Direct
0.0000 0.0000 0.5000
0.0000 0.5000 0.0000
0.5000 0.0000 0.0000
0.5000 0.5000 0.5000
0.0000 0.0000 0.0000
```



Stability ranking, top and bottom: x is the most stable and w is the least stable.



## w
The following is a GGA-PBE calculation of InAg2P2 after structural relaxation, from Alexandria via LeMat-Bulk.

Summary:
* density of states at the Fermi level: 1.4 states/eV per cell
* space-group type: No. 139
* mass density: 6.412 Mg/m³

Structure (POSCAR):
```
InAg2P2
1.0
4.5065 0.0000 0.0000
0.0000 4.5065 0.0000
2.2533 2.2533 5.0052
P Ag In
2 2 1
Direct
0.3923 0.3923 0.2154
0.6077 0.6077 0.7846
0.7500 0.2500 0.5000
0.2500 0.7500 0.5000
0.0000 0.0000 0.0000
```



## x
The following is a GGA-PBE calculation of InAg2P2 after structural relaxation, from Alexandria via LeMat-Bulk.

Summary:
* density of states at the Fermi level: 4.1 states/eV per cell
* space-group type: No. 127
* mass density: 6.874 Mg/m³

Structure (POSCAR):
```
InAg2P2
1.0
8.1361 0.0000 0.0000
0.0000 8.1361 0.0000
0.0000 0.0000 2.8646
P Ag In
4 4 2
Direct
0.3386 0.8386 0.0000
0.8386 0.6614 0.0000
0.6614 0.1614 0.0000
0.1614 0.3386 0.0000
0.1375 0.6375 0.5000
0.6375 0.8625 0.5000
0.8625 0.3625 0.5000
0.3625 0.1375 0.5000
0.0000 0.0000 0.0000
0.5000 0.5000 0.0000
```



## y
The following is a GGA-PBE calculation of InAg2P2 after structural relaxation, from Alexandria via LeMat-Bulk.

Summary:
* density of states at the Fermi level: 2.2 states/eV per cell
* space-group type: No. 139
* mass density: 6.809 Mg/m³

Structure (POSCAR):
```
InAg2P2
1.0
3.3178 0.0000 0.0000
0.0000 3.3178 0.0000
1.6589 1.6589 8.6951
P Ag In
2 2 1
Direct
0.7500 0.2500 0.5000
0.2500 0.7500 0.5000
0.3920 0.3920 0.2160
0.6080 0.6080 0.7840
0.0000 0.0000 0.0000
```



Stability ranking, top and bottom: w is the most stable and x is the least stable.



## w
The following is a GGA-PBE calculation of In3AgP after structural relaxation, from Alexandria via LeMat-Bulk.

Summary:
* density of states at the Fermi level: 2.2 states/eV per cell
* space-group type: No. 221
* mass density: 5.611 Mg/m³

Structure (POSCAR):
```
In3AgP
1.0
5.2296 0.0000 0.0000
0.0000 5.2296 0.0000
0.0000 0.0000 5.2296
P Ag In
1 1 3
Direct
0.0000 0.0000 0.0000
0.5000 0.5000 0.5000
0.0000 0.5000 0.0000
0.0000 0.0000 0.5000
0.5000 0.0000 0.0000
```



## x
The following is a GGA-PBE calculation of In3AgP after structural relaxation, from Alexandria via LeMat-Bulk.

Summary:
* density of states at the Fermi level: 4.4 states/eV per cell
* space-group type: No. 221
* mass density: 5.538 Mg/m³

Structure (POSCAR):
```
In3AgP
1.0
5.2527 0.0000 0.0000
0.0000 5.2527 0.0000
0.0000 0.0000 5.2527
P Ag In
1 1 3
Direct
0.5000 0.5000 0.5000
0.0000 0.0000 0.0000
0.0000 0.5000 0.0000
0.0000 0.0000 0.5000
0.5000 0.0000 0.0000
```



Stability ranking, top and bottom: w is the most stable and x is the least stable.



## w
The following is a GGA-PBE calculation of In2AgP2 after structural relaxation, from Alexandria via LeMat-Bulk.

Summary:
* density of states at the Fermi level: 3.8 states/eV per cell
* space-group type: No. 127
* mass density: 6.284 Mg/m³

Structure (POSCAR):
```
In2AgP2
1.0
-5.3125 -1.8038 -4.8084
-4.4860 -1.7380 5.6083
-1.3084 3.6379 0.0808
P Ag In
4 2 4
Direct
0.3213 0.8213 0.0000
0.8213 0.6787 0.0000
0.6787 0.1787 0.0000
0.1787 0.3213 0.0000
0.0000 0.0000 0.0000
0.5000 0.5000 0.0000
0.1445 0.6445 0.5000
0.6445 0.8555 0.5000
0.8555 0.3555 0.5000
0.3555 0.1445 0.5000
```



## x
The following is a GGA-PBE calculation of In2AgP2 after structural relaxation, from Alexandria via LeMat-Bulk.

Summary:
* density of states at the Fermi level: 1.7 states/eV per cell
* space-group type: No. 139
* mass density: 5.703 Mg/m³

Structure (POSCAR):
```
In2AgP2
1.0
4.5726 0.0000 0.0000
0.0000 4.5726 0.0000
2.2863 2.2863 5.5625
P Ag In
2 1 2
Direct
0.7500 0.2500 0.5000
0.2500 0.7500 0.5000
0.0000 0.0000 0.0000
0.3757 0.3757 0.2486
0.6243 0.6243 0.7514
```



Stability ranking, top and bottom: w is the most stable and x is the least stable.



## w
The following is a GGA-PBE calculation of InAgPb4 after structural relaxation, from Alexandria via LeMat-Bulk.

Summary:
* density of states at the Fermi level: 2.0 states/eV per cell
* space-group type: No. 123
* mass density: 10.252 Mg/m³

Structure (POSCAR):
```
InAgPb4
1.0
3.4528 -0.0007 0.0002
0.0007 3.4528 0.0002
-0.0007 -0.0007 14.2865
In Ag Pb
1 1 4
Direct
0.0000 0.0000 0.0000
0.5000 0.5000 0.5000
0.4999 0.4999 0.8284
0.5001 0.5001 0.1716
0.9999 0.9999 0.6410
0.0001 0.0001 0.3590
```



## x
The following is a GGA-PBE calculation of InAgPb4 after structural relaxation, from Alexandria via LeMat-Bulk.

Summary:
* density of states at the Fermi level: 2.2 states/eV per cell
* space-group type: No. 216
* mass density: 9.161 Mg/m³

Structure (POSCAR):
```
InAgPb4
1.0
6.2810 0.3523 1.4670
2.3084 5.1788 3.0950
1.9135 -0.4994 6.1495
In Ag Pb
1 1 4
Direct
0.0000 0.0000 0.0000
0.7500 0.7500 0.7500
0.8746 0.3752 0.3752
0.3752 0.3752 0.8746
0.3752 0.8746 0.3752
0.3752 0.3752 0.3752
```



Stability ranking, top and bottom: w is the most stable and x is the least stable.



## w
The following is a GGA-PBE calculation of PmInAgPb after structural relaxation, from Alexandria via LeMat-Bulk.

Summary:
* density of states at the Fermi level: 2.2 states/eV per cell
* space-group type: No. 47
* mass density: 9.370 Mg/m³

Structure (POSCAR):
```
PmInAgPb
1.0
4.5818 0.0000 0.0000
0.0000 4.5901 0.0000
0.0000 0.0000 4.8442
Pm In Ag Pb
1 1 1 1
Direct
0.5000 0.0000 0.5000
0.0000 0.0000 0.0000
0.5000 0.5000 0.0000
0.0000 0.5000 0.5000
```



## x
The following is a GGA-PBE calculation of PmInAgPb after structural relaxation, from Alexandria via LeMat-Bulk.

Summary:
* density of states at the Fermi level: 2.7 states/eV per cell
* space-group type: No. 216
* mass density: 9.063 Mg/m³

Structure (POSCAR):
```
PmInAgPb
1.0
-1.0780 1.6547 -4.9193
-4.8923 -0.5442 -1.9671
-3.0452 4.2734 -0.7513
Pb In Ag Pm
1 1 1 1
Direct
0.5000 0.5000 0.5000
0.7500 0.7500 0.7500
0.2500 0.2500 0.2500
0.0000 0.0000 0.0000
```



Stability ranking, top and bottom: w is the most stable and x is the least stable.



## w
The following is a GGA-PBE calculation of TmInAgPb after structural relaxation, from Alexandria via LeMat-Bulk.

Summary:
* density of states at the Fermi level: 2.1 states/eV per cell
* space-group type: No. 216
* mass density: 10.083 Mg/m³

Structure (POSCAR):
```
TmInAgPb
1.0
-2.4709 -2.4046 3.8737
-2.8518 -4.2216 -0.9685
1.6222 -4.6522 1.6182
Pb Tm Ag In
1 1 1 1
Direct
0.0000 0.0000 0.0000
0.7500 0.7500 0.7500
0.2500 0.2500 0.2500
0.5000 0.5000 0.5000
```



## x
The following is a GGA-PBE calculation of TmInAgPb after structural relaxation, from Alexandria via LeMat-Bulk.

Summary:
* density of states at the Fermi level: 1.6 states/eV per cell
* space-group type: No. 47
* mass density: 10.344 Mg/m³

Structure (POSCAR):
```
TmInAgPb
1.0
-2.7786 2.6333 2.2286
-0.3776 -3.1498 3.2511
3.6992 1.9449 2.3141
Tm In Ag Pb
1 1 1 1
Direct
0.0000 0.5000 0.5000
0.5000 0.5000 0.0000
0.0000 0.0000 0.0000
0.5000 0.0000 0.5000
```



Stability ranking, top and bottom: x is the most stable and w is the least stable.



## w
The following is a GGA-PBE calculation of In2AgPd after structural relaxation, from Alexandria via LeMat-Bulk.

Summary:
* density of states at the Fermi level: 1.1 states/eV per cell
* space-group type: No. 123
* mass density: 9.460 Mg/m³

Structure (POSCAR):
```
In2AgPd
1.0
3.2795 0.0000 0.0000
0.0000 3.2795 0.0000
0.0000 0.0000 7.2449
Pd Ag In
1 1 2
Direct
0.5000 0.5000 0.0000
0.5000 0.5000 0.5000
0.0000 0.0000 0.7676
0.0000 0.0000 0.2324
```



## x
The following is a GGA-PBE calculation of In2AgPd after structural relaxation, from Alexandria via LeMat-Bulk.

Summary:
* density of states at the Fermi level: 1.0 states/eV per cell
* space-group type: No. 225
* mass density: 9.572 Mg/m³

Structure (POSCAR):
```
In2AgPd
1.0
0.0000 3.3769 3.3769
3.3769 0.0000 3.3769
3.3769 3.3769 0.0000
Pd Ag In
1 1 2
Direct
0.0000 0.0000 0.0000
0.5000 0.5000 0.5000
0.2500 0.2500 0.2500
0.7500 0.7500 0.7500
```



Stability ranking, top and bottom: w is the most stable and x is the least stable.



## w
The following is a GGA-PBE calculation of In2AgPd after structural relaxation, from Alexandria via LeMat-Bulk.

Summary:
* density of states at the Fermi level: 1.4 states/eV per cell
* space-group type: No. 123
* mass density: 9.583 Mg/m³

Structure (POSCAR):
```
In2AgPd
1.0
-2.4681 -1.4707 -1.6018
2.6786 -4.0004 -0.4544
-1.7448 -1.6453 4.1991
Pd Ag In
1 1 2
Direct
0.5000 0.5000 0.5000
0.5000 0.0000 0.0000
0.0000 0.0000 0.5000
0.0000 0.5000 0.0000
```



## x
The following is a GGA-PBE calculation of In2AgPd after structural relaxation, from Alexandria via LeMat-Bulk.

Summary:
* density of states at the Fermi level: 1.0 states/eV per cell
* space-group type: No. 160
* mass density: 8.481 Mg/m³

Structure (POSCAR):
```
In2AgPd
1.0
-1.7574 1.0493 4.0181
-3.9640 -1.7469 1.2529
0.4286 -4.0794 3.7831
In Ag Pd
2 1 1
Direct
0.0658 0.0658 0.8027
0.2690 0.2690 0.1929
0.4874 0.4874 0.5379
0.6778 0.6778 0.9665
```



Stability ranking, top and bottom: w is the most stable and x is the least stable.



## w
The following is a GGA-PBE calculation of In2AgPd after structural relaxation, from Alexandria via LeMat-Bulk.

Summary:
* density of states at the Fermi level: 3.1 states/eV per cell
* space-group type: No. 122
* mass density: 8.445 Mg/m³

Structure (POSCAR):
```
In2AgPd
1.0
7.7131 0.0000 0.0000
0.0000 7.7131 0.0000
3.8566 3.8566 2.9344
Pd Ag In
2 2 4
Direct
0.5000 0.5000 0.0000
0.2500 0.7500 0.5000
0.0000 0.0000 0.0000
0.7500 0.2500 0.5000
0.6053 0.1250 0.2500
0.1447 0.6250 0.2500
0.3750 0.3947 0.7500
0.8750 0.8553 0.7500
```



## x
The following is a GGA-PBE calculation of In2AgPd after structural relaxation, from Alexandria via LeMat-Bulk.

Summary:
* density of states at the Fermi level: 2.4 states/eV per cell
* space-group type: No. 2
* mass density: 8.764 Mg/m³

Structure (POSCAR):
```
In2AgPd
1.0
3.2573 0.0127 0.0128
0.0191 7.3452 -0.9932
-1.6310 -4.6126 7.6477
In Ag Pd
4 2 2
Direct
0.3929 0.0744 0.3675
0.0780 0.5256 0.7239
0.5825 0.0340 0.7470
0.2683 0.4851 0.1034
0.2236 0.0530 0.0310
0.4372 0.5066 0.4399
0.7342 0.7379 0.0437
0.9267 0.8216 0.4272
```



Stability ranking, top and bottom: x is the most stable and w is the least stable.